Entry 1:
# TaBeSbMo | OQMD via LeMat-Bulk | PBE-GGA | optimized geometry
# Total magnetic moment in μB/f.u.: 0.00
# ΔE to the lowest computed polymorph in kcal/mol of atoms: 0.00
data_TaBeSbMo
_chemical_formula_sum 'Ta1 Be1 Sb1 Mo1'
_cell_length_a 4.505
_cell_length_b 4.505
_cell_length_c 4.505
_cell_angle_alpha 60.00
_cell_angle_beta 60.00
_cell_angle_gamma 60.00
_symmetry_space_group_name_H-M 'P 1'
_symmetry_Int_Tables_number 1
loop_
_symmetry_equiv_pos_as_xyz
'x,y,z'
loop_
_atom_site_label
_atom_site_type_symbol
_atom_site_fract_x
_atom_site_fract_y
_atom_site_fract_z
Be1 Be 0.750 0.750 0.750
Mo1 Mo 0.250 0.250 0.250
Sb1 Sb 0.000 0.000 0.000
Ta1 Ta 0.500 0.500 0.500

---

Entry 2:
# PrClO | OQMD via LeMat-Bulk | PBE-GGA | optimized geometry
# Total magnetic moment in μB/f.u.: 0.00
# Total energy in eV per cell: -41.29
data_PrClO
_chemical_formula_sum 'Pr2 Cl2 O2'
_cell_length_a 4.079
_cell_length_b 4.079
_cell_length_c 6.873
_cell_angle_alpha 90.00
_cell_angle_beta 90.00
_cell_angle_gamma 90.00
_symmetry_space_group_name_H-M 'P 1'
_symmetry_Int_Tables_number 1
loop_
_symmetry_equiv_pos_as_xyz
'x,y,z'
loop_
_atom_site_label
_atom_site_type_symbol
_atom_site_fract_x
_atom_site_fract_y
_atom_site_fract_z
Cl1 Cl 0.000 0.000 0.373
Cl2 Cl 0.500 0.500 0.627
O1 O 0.500 0.000 0.000
O2 O 0.000 0.500 0.000
Pr1 Pr 0.500 0.500 0.175
Pr2 Pr 0.000 0.000 0.825

---

Entry 3:
# Er3In3PdPt2 | OQMD via LeMat-Bulk | PBE-GGA | optimized geometry
# Total magnetic moment in μB/f.u.: 0.02
# Total energy in eV per cell: -47.83
data_Er3In3PdPt2
_chemical_formula_sum 'Er3 In3 Pd1 Pt2'
_cell_length_a 7.690
_cell_length_b 7.690
_cell_length_c 3.793
_cell_angle_alpha 90.00
_cell_angle_beta 90.00
_cell_angle_gamma 120.00
_symmetry_space_group_name_H-M 'P 1'
_symmetry_Int_Tables_number 1
loop_
_symmetry_equiv_pos_as_xyz
'x,y,z'
loop_
_atom_site_label
_atom_site_type_symbol
_atom_site_fract_x
_atom_site_fract_y
_atom_site_fract_z
Er1 Er 0.408 0.000 0.000
Er2 Er 0.000 0.408 0.000
Er3 Er 0.592 0.592 0.000
In1 In 0.740 0.000 0.500
In2 In 0.260 0.260 0.500
In3 In 0.000 0.740 0.500
Pd1 Pd 0.000 0.000 0.000
Pt1 Pt 0.667 0.333 0.500
Pt2 Pt 0.333 0.667 0.500

---

Entry 4:
# PrInSe3 | OQMD via LeMat-Bulk | PBE-GGA | optimized geometry
# Total magnetic moment in μB/f.u.: 0.00
# Total energy in eV per cell: -95.07
data_PrInSe3
_chemical_formula_sum 'Pr4 In4 Se12'
_cell_length_a 8.349
_cell_length_b 4.192
_cell_length_c 14.317
_cell_angle_alpha 90.00
_cell_angle_beta 90.00
_cell_angle_gamma 90.00
_symmetry_space_group_name_H-M 'P 1'
_symmetry_Int_Tables_number 1
loop_
_symmetry_equiv_pos_as_xyz
'x,y,z'
loop_
_atom_site_label
_atom_site_type_symbol
_atom_site_fract_x
_atom_site_fract_y
_atom_site_fract_z
In1 In 0.161 0.250 0.059
In2 In 0.661 0.250 0.441
In3 In 0.339 0.750 0.559
In4 In 0.839 0.750 0.941
Pr1 Pr 0.599 0.750 0.170
Pr2 Pr 0.099 0.750 0.330
Pr3 Pr 0.901 0.250 0.670
Pr4 Pr 0.401 0.250 0.830
Se1 Se 0.644 0.250 0.009
Se2 Se 0.972 0.750 0.121
Se3 Se 0.323 0.250 0.218
Se4 Se 0.823 0.250 0.282
Se5 Se 0.472 0.750 0.379
Se6 Se 0.144 0.250 0.491
Se7 Se 0.856 0.750 0.509
Se8 Se 0.528 0.250 0.621
Se9 Se 0.177 0.750 0.718
Se10 Se 0.677 0.750 0.782
Se11 Se 0.028 0.250 0.879
Se12 Se 0.356 0.750 0.991

---

Entry 5:
# AcCuB4 | OQMD via LeMat-Bulk | PBE-GGA | optimized geometry
# Total magnetic moment in μB/f.u.: 0.00
# ΔE to the lowest computed polymorph in kcal/mol of atoms: 0.00
data_AcCuB4
_chemical_formula_sum 'Ac1 Cu1 B4'
_cell_length_a 3.290
_cell_length_b 3.290
_cell_length_c 7.147
_cell_angle_alpha 90.00
_cell_angle_beta 90.00
_cell_angle_gamma 120.00
_symmetry_space_group_name_H-M 'P 1'
_symmetry_Int_Tables_number 1
loop_
_symmetry_equiv_pos_as_xyz
'x,y,z'
loop_
_atom_site_label
_atom_site_type_symbol
_atom_site_fract_x
_atom_site_fract_y
_atom_site_fract_z
Ac1 Ac 0.000 0.000 0.000
B1 B 0.667 0.333 0.310
B2 B 0.333 0.667 0.310
B3 B 0.667 0.333 0.690
B4 B 0.333 0.667 0.690
Cu1 Cu 0.000 0.000 0.500

---

Entry 6:
# Sr2GaH6Ir | OQMD via LeMat-Bulk | PBE-GGA | optimized geometry
# Total magnetic moment in μB/f.u.: 0.00
# Total energy in eV per cell: -39.26
data_Sr2GaH6Ir
_chemical_formula_sum 'Sr2 Ga1 H6 Ir1'
_cell_length_a 5.569
_cell_length_b 5.569
_cell_length_c 5.569
_cell_angle_alpha 60.00
_cell_angle_beta 60.00
_cell_angle_gamma 60.00
_symmetry_space_group_name_H-M 'P 1'
_symmetry_Int_Tables_number 1
loop_
_symmetry_equiv_pos_as_xyz
'x,y,z'
loop_
_atom_site_label
_atom_site_type_symbol
_atom_site_fract_x
_atom_site_fract_y
_atom_site_fract_z
Ga1 Ga 0.000 0.000 0.000
H1 H 0.279 0.721 0.279
H2 H 0.721 0.279 0.279
H3 H 0.721 0.721 0.279
H4 H 0.279 0.279 0.721
H5 H 0.721 0.279 0.721
H6 H 0.279 0.721 0.721
Ir1 Ir 0.500 0.500 0.500
Sr1 Sr 0.250 0.250 0.250
Sr2 Sr 0.750 0.750 0.750

---

Entry 7:
# Li4ZrPbO6 | OQMD via LeMat-Bulk | PBE-GGA | optimized geometry
# Total magnetic moment in μB/f.u.: 0.00
# Total energy in eV per cell: -73.82
data_Li4ZrPbO6
_chemical_formula_sum 'Li4 Zr1 Pb1 O6'
_cell_length_a 5.414
_cell_length_b 5.414
_cell_length_c 5.311
_cell_angle_alpha 99.81
_cell_angle_beta 99.81
_cell_angle_gamma 119.93
_symmetry_space_group_name_H-M 'P 1'
_symmetry_Int_Tables_number 1
loop_
_symmetry_equiv_pos_as_xyz
'x,y,z'
loop_
_atom_site_label
_atom_site_type_symbol
_atom_site_fract_x
_atom_site_fract_y
_atom_site_fract_z
Li1 Li 0.500 0.500 0.000
Li2 Li 0.998 0.002 0.500
Li3 Li 0.655 0.345 0.500
Li4 Li 0.349 0.651 0.500
O1 O 0.926 0.591 0.242
O2 O 0.572 0.918 0.245
O3 O 0.244 0.235 0.247
O4 O 0.765 0.756 0.753
O5 O 0.082 0.428 0.755
O6 O 0.409 0.074 0.758
Pb1 Pb 0.832 0.168 0.000
Zr1 Zr 0.168 0.832 0.000

---

Entry 8:
# Ag2Hg2Te3O12 | OQMD via LeMat-Bulk | PBE-GGA | optimized geometry
# Total energy in eV per cell: -175.10
data_Ag2Hg2Te3O12
_chemical_formula_sum 'Ag4 Hg4 Te6 O24'
_cell_length_a 6.521
_cell_length_b 6.137
_cell_length_c 13.076
_cell_angle_alpha 90.00
_cell_angle_beta 94.59
_cell_angle_gamma 90.00
_symmetry_space_group_name_H-M 'P 1'
_symmetry_Int_Tables_number 1
loop_
_symmetry_equiv_pos_as_xyz
'x,y,z'
loop_
_atom_site_label
_atom_site_type_symbol
_atom_site_fract_x
_atom_site_fract_y
_atom_site_fract_z
Ag1 Ag 0.310 0.127 0.209
Ag2 Ag 0.190 0.627 0.291
Ag3 Ag 0.810 0.373 0.709
Ag4 Ag 0.690 0.873 0.791
Hg1 Hg 0.807 0.041 0.099
Hg2 Hg 0.693 0.541 0.401
Hg3 Hg 0.307 0.459 0.599
Hg4 Hg 0.193 0.959 0.901
O1 O 0.483 0.307 0.036
O2 O 0.065 0.212 0.055
O3 O 0.213 0.638 0.095
O4 O 0.820 0.549 0.113
O5 O 0.552 0.884 0.157
O6 O 0.496 0.454 0.236
O7 O 0.004 0.954 0.264
O8 O 0.948 0.384 0.343
O9 O 0.680 0.049 0.387
O10 O 0.287 0.138 0.405
O11 O 0.435 0.712 0.445
O12 O 0.017 0.807 0.464
O13 O 0.983 0.193 0.536
O14 O 0.565 0.288 0.555
O15 O 0.713 0.862 0.595
O16 O 0.320 0.951 0.613
O17 O 0.052 0.616 0.657
O18 O 0.996 0.046 0.736
O19 O 0.504 0.546 0.764
O20 O 0.448 0.116 0.843
O21 O 0.180 0.451 0.887
O22 O 0.787 0.362 0.905
O23 O 0.935 0.788 0.945
O24 O 0.517 0.693 0.964
Te1 Te 0.000 0.500 0.000
Te2 Te 0.518 0.591 0.109
Te3 Te 0.982 0.091 0.391
Te4 Te 0.500 0.000 0.500
Te5 Te 0.018 0.909 0.609
Te6 Te 0.482 0.409 0.891

---

Entry 9:
# Tb2Zr2O5 | OQMD via LeMat-Bulk | PBE-GGA | optimized geometry
# Total magnetic moment in μB/f.u.: 0.01
# ΔE to the lowest computed polymorph in kcal/mol of atoms: 1.50
data_Tb2Zr2O5
_chemical_formula_sum 'Tb2 Zr2 O5'
_cell_length_a 7.404
_cell_length_b 4.121
_cell_length_c 4.121
_cell_angle_alpha 90.00
_cell_angle_beta 90.00
_cell_angle_gamma 90.00
_symmetry_space_group_name_H-M 'P 1'
_symmetry_Int_Tables_number 1
loop_
_symmetry_equiv_pos_as_xyz
'x,y,z'
loop_
_atom_site_label
_atom_site_type_symbol
_atom_site_fract_x
_atom_site_fract_y
_atom_site_fract_z
O1 O 0.262 0.500 0.000
O2 O 0.738 0.500 0.000
O3 O 0.262 0.000 0.500
O4 O 0.738 0.000 0.500
O5 O 0.500 0.500 0.500
Tb1 Tb 0.000 0.000 0.000
Tb2 Tb 0.500 0.000 0.000
Zr1 Zr 0.217 0.500 0.500
Zr2 Zr 0.783 0.500 0.500

---

Entry 10:
# Gd2Er5Lu | OQMD via LeMat-Bulk | PBE-GGA | optimized geometry
# Total magnetic moment in μB/f.u.: 0.14
# Total energy in eV per cell: -36.62
data_Gd2Er5Lu
_chemical_formula_sum 'Gd2 Er5 Lu1'
_cell_length_a 5.586
_cell_length_b 7.143
_cell_length_c 7.143
_cell_angle_alpha 59.99
_cell_angle_beta 90.00
_cell_angle_gamma 90.00
_symmetry_space_group_name_H-M 'P 1'
_symmetry_Int_Tables_number 1
loop_
_symmetry_equiv_pos_as_xyz
'x,y,z'
loop_
_atom_site_label
_atom_site_type_symbol
_atom_site_fract_x
_atom_site_fract_y
_atom_site_fract_z
Er1 Er 0.000 0.669 0.166
Er2 Er 0.500 0.834 0.332
Er3 Er 0.000 0.166 0.669
Er4 Er 0.500 0.834 0.834
Er5 Er 0.500 0.332 0.834
Gd1 Gd 0.500 0.333 0.333
Gd2 Gd 0.000 0.667 0.667
Lu1 Lu 0.000 0.166 0.166

---

Entry 11:
# Tm2ScIn3Pt2 | OQMD via LeMat-Bulk | PBE-GGA | optimized geometry
# Total magnetic moment in μB/f.u.: 0.01
# Total energy in eV per cell: -42.56
data_Tm2ScIn3Pt2
_chemical_formula_sum 'Tm2 Sc1 In3 Pt2'
_cell_length_a 3.511
_cell_length_b 7.637
_cell_length_c 7.637
_cell_angle_alpha 120.14
_cell_angle_beta 90.00
_cell_angle_gamma 90.00
_symmetry_space_group_name_H-M 'P 1'
_symmetry_Int_Tables_number 1
loop_
_symmetry_equiv_pos_as_xyz
'x,y,z'
loop_
_atom_site_label
_atom_site_type_symbol
_atom_site_fract_x
_atom_site_fract_y
_atom_site_fract_z
In1 In 0.500 0.237 0.237
In2 In 0.500 0.995 0.767
In3 In 0.500 0.767 0.995
Pt1 Pt 0.500 0.664 0.339
Pt2 Pt 0.500 0.339 0.664
Sc1 Sc 0.000 0.577 0.577
Tm1 Tm 0.000 0.000 0.421
Tm2 Tm 0.000 0.421 0.000

---

Entry 12:
# Cd2Pd2O5 | OQMD via LeMat-Bulk | PBE-GGA | optimized geometry
# ΔE to the lowest computed polymorph in kcal/mol of atoms: 0.00
data_Cd2Pd2O5
_chemical_formula_sum 'Cd2 Pd2 O5'
_cell_length_a 7.886
_cell_length_b 3.888
_cell_length_c 3.888
_cell_angle_alpha 90.00
_cell_angle_beta 90.00
_cell_angle_gamma 90.00
_symmetry_space_group_name_H-M 'P 1'
_symmetry_Int_Tables_number 1
loop_
_symmetry_equiv_pos_as_xyz
'x,y,z'
loop_
_atom_site_label
_atom_site_type_symbol
_atom_site_fract_x
_atom_site_fract_y
_atom_site_fract_z
Cd1 Cd 0.000 0.000 0.000
Cd2 Cd 0.500 0.000 0.000
O1 O 0.184 0.500 0.000
O2 O 0.816 0.500 0.000
O3 O 0.184 0.000 0.500
O4 O 0.816 0.000 0.500
O5 O 0.500 0.500 0.500
Pd1 Pd 0.235 0.500 0.500
Pd2 Pd 0.765 0.500 0.500